# 1
Na2LiTiCl6 | PBE-GGA | relaxed

## Properties
The value obtained for the calculated density is 2.3 g/cm3. Its magnetization is 0.100 μB/atom. The value obtained for the uncorrected formation energy is -16.89 eV/f.u. The crystal system is trigonal. The calculation puts the uncorrected energy at -4.042 eV/atom.

Cell and atoms, written as POSCAR:
```
Na2LiTiCl6
1.0
-4.0624 -2.4488 -4.7954
-5.9278 -2.7435 1.6803
-5.9023 3.5207 -1.5405
Na Li Ti Cl
2 1 1 6
direct
0.5317 0.5318 0.4051
0.0237 0.0237 0.9288
0.8105 0.8104 0.5688
0.3244 0.3244 0.0268
0.5700 0.1947 0.2561
0.1946 0.9792 0.2562
0.9792 0.5701 0.2562
0.4536 0.6766 0.7724
0.6766 0.0973 0.7724
0.0974 0.4536 0.7724
```

---

# 2
NaLi2TiCl6 | PBE-GGA | relaxed

## Properties
The value obtained for the calculated density is 2.3 g/cm3. Its magnetization is 0.100 μB/atom. The value obtained for the uncorrected formation energy is -16.89 eV/f.u. The crystal system is trigonal. The calculation puts the uncorrected energy at -4.101 eV/atom.

Cell and atoms, written as POSCAR:
```
NaLi2TiCl6
1.0
-5.2662 1.6706 -3.4064
-4.7487 -4.3178 -0.9610
-6.0150 0.9418 3.5758
Na Li Ti Cl
1 2 1 6
direct
0.8150 0.8149 0.5549
0.5183 0.5185 0.4446
0.0096 0.0096 0.9715
0.3262 0.3261 0.0216
0.5751 0.2469 0.2395
0.2469 0.9386 0.2395
0.9386 0.5750 0.2395
0.3849 0.7188 0.7680
0.7188 0.1282 0.7680
0.1284 0.3849 0.7680
```

---

# 3
NaLiTlCl3 | PBE-GGA | relaxed

## Properties
The value obtained for the calculated density is 3.4 g/cm3. Its magnetization is 0.000 μB/atom. The value obtained for the uncorrected formation energy is -9.16 eV/f.u. The crystal system is monoclinic. The calculation puts the uncorrected energy at -3.382 eV/atom.

Cell and atoms, written as POSCAR:
```
NaLiTlCl3
1.0
4.1851 0.0000 0.0000
0.0000 8.6924 0.4418
0.0000 -2.8877 8.9322
Na Li Tl Cl
2 2 2 6
direct
0.2500 0.6591 0.1428
0.7500 0.3409 0.8572
0.2500 0.0909 0.6072
0.7500 0.9091 0.3928
0.7500 0.7965 0.7873
0.2500 0.2035 0.2127
0.2500 0.8192 0.4639
0.7500 0.8849 0.1391
0.7500 0.4483 0.1638
0.7500 0.1808 0.5361
0.2500 0.5517 0.8362
0.2500 0.1151 0.8609
```

---

# 4
Na2LiTlCl6 | PBE-GGA | relaxed

## Properties
The value obtained for the calculated density is 2.9 g/cm3. Its magnetization is 0.000 μB/atom. The value obtained for the uncorrected formation energy is -12.17 eV/f.u. The crystal system is cubic. The calculation puts the uncorrected energy at -3.016 eV/atom. Its distance to the lowest polymorph of the same formula is 0.136 eV/atom.

Cell and atoms, written as POSCAR:
```
Na2LiTlCl6
1.0
2.0368 3.9728 5.6857
-4.8871 3.9186 3.6083
-1.9863 -1.9519 6.6711
Na Li Tl Cl
2 1 1 6
direct
0.7500 0.7500 0.7500
0.2500 0.2500 0.2500
0.5000 0.5000 0.5000
0.0000 0.0000 0.0000
0.2537 0.7463 0.2537
0.7463 0.2537 0.2537
0.7463 0.2537 0.7463
0.2537 0.2537 0.7463
0.7463 0.7463 0.2537
0.2537 0.7463 0.7463
```

---

# 5
Na2LiTl3Cl6 | PBE-GGA | relaxed

## Properties
The value obtained for the calculated density is 4.5 g/cm3. Its magnetization is 0.000 μB/atom. The value obtained for the uncorrected formation energy is -16.47 eV/f.u. The crystal system is monoclinic. The calculation puts the uncorrected energy at -3.267 eV/atom.

Cell and atoms, written as POSCAR:
```
Na2LiTl3Cl6
1.0
7.1962 0.0239 0.0027
-3.5756 6.2450 0.0027
-1.2049 -2.0863 7.2129
Na Li Tl Cl
2 1 3 6
direct
0.3338 0.6662 0.0000
0.6662 0.3338 0.0000
0.0000 0.0000 0.0000
0.1711 0.8289 0.5000
0.8289 0.1711 0.5000
0.5000 0.5000 0.5000
0.9329 0.6184 0.7992
0.7509 0.7509 0.2152
0.0671 0.3816 0.2008
0.6184 0.9329 0.7992
0.2491 0.2491 0.7848
0.3816 0.0671 0.2008
```

---

# 6
NaLiTl2Cl8 | PBE-GGA | relaxed

## Properties
The value obtained for the calculated density is 3.3 g/cm3. Its magnetization is 0.000 μB/atom. The value obtained for the uncorrected formation energy is -12.24 eV/f.u. The crystal system is tetragonal. The calculation puts the uncorrected energy at -2.915 eV/atom.

Cell and atoms, written as POSCAR:
```
NaLiTl2Cl8
1.0
-2.4922 1.0909 5.4807
0.2410 -5.9744 1.2988
9.9020 3.6128 0.3681
Na Li Tl Cl
1 1 2 8
direct
0.0000 0.0000 0.0000
0.7500 0.2500 0.5000
0.5000 0.5000 0.0000
0.2500 0.7500 0.5000
0.7976 0.8178 0.1477
0.3501 0.3299 0.1477
0.5852 0.5856 0.6281
0.0430 0.0426 0.6281
0.9574 0.4148 0.3719
0.4144 0.9570 0.3719
0.1822 0.6499 0.8523
0.6701 0.2024 0.8523
```

---

# 7
Na2LiTlCl6 | PBE-GGA | relaxed

## Properties
The value obtained for the calculated density is 2.9 g/cm3. Its magnetization is 0.000 μB/atom. The value obtained for the uncorrected formation energy is -13.53 eV/f.u. The crystal system is trigonal. The calculation puts the uncorrected energy at -3.153 eV/atom. Its distance to the lowest polymorph of the same formula is 0.000 eV/atom.

Cell and atoms, written as POSCAR:
```
Na2LiTlCl6
1.0
6.7369 0.0007 0.0012
3.3691 5.8357 0.0011
3.3688 1.9463 6.8238
Na Li Tl Cl
2 1 1 6
direct
0.5166 0.5166 0.4499
0.0203 0.0202 0.9394
0.6946 0.6943 0.9171
0.3399 0.3399 0.9801
0.6006 0.2944 0.1725
0.2944 0.9324 0.1725
0.9321 0.6008 0.1722
0.4422 0.7217 0.7372
0.7218 0.0990 0.7371
0.0990 0.4421 0.7371
```

---

# 8
NaLi2TmCl6 | PBE-GGA | relaxed

## Properties
The value obtained for the calculated density is 3.0 g/cm3. Its magnetization is 0.000 μB/atom. The value obtained for the uncorrected formation energy is -19.95 eV/f.u. The crystal system is trigonal. The calculation puts the uncorrected energy at -4.064 eV/atom.

Cell and atoms, written as POSCAR:
```
NaLi2TmCl6
1.0
-5.3867 -1.5355 3.6017
-3.3201 -5.6440 -1.2136
0.6276 -5.3346 4.8204
Na Li Tm Cl
1 2 1 6
direct
0.8130 0.8131 0.5607
0.5188 0.5190 0.4434
0.0132 0.0130 0.9612
0.3222 0.3221 0.0335
0.5954 0.2427 0.2463
0.2426 0.9156 0.2461
0.9155 0.5954 0.2463
0.3812 0.7315 0.7592
0.7316 0.1279 0.7593
0.1281 0.3813 0.7591
```

---

# 9
NaLiUCl6 | PBE-GGA | relaxed

## Properties
The value obtained for the calculated density is 3.2 g/cm3. Its magnetization is 0.222 μB/atom. The value obtained for the uncorrected formation energy is -15.93 eV/f.u. The crystal system is trigonal. The calculation puts the uncorrected energy at -4.614 eV/atom.

Cell and atoms, written as POSCAR:
```
NaLiUCl6
1.0
-4.4788 -4.4339 2.2620
0.8592 0.8266 -6.5889
8.9546 -9.0273 0.0352
Na Li U Cl
2 2 2 12
direct
0.0000 0.0000 0.0000
0.0000 0.0000 0.5000
0.3333 0.6667 0.2500
0.6667 0.3333 0.7500
0.6667 0.3333 0.2500
0.3333 0.6667 0.7500
0.6455 0.6470 0.1332
0.0015 0.3545 0.1332
0.3545 0.0015 0.6332
0.9985 0.6455 0.8668
0.3530 0.3545 0.3668
0.0015 0.6470 0.3668
0.6470 0.0015 0.8668
0.6455 0.9985 0.3668
0.9985 0.3530 0.6332
0.3530 0.9985 0.1332
0.6470 0.6455 0.6332
0.3545 0.3530 0.8668
```

---

# 10
NaLi2VCl | PBE-GGA | relaxed

## Properties
The value obtained for the calculated density is 1.5 g/cm3. Its magnetization is 0.895 μB/atom. The value obtained for the uncorrected formation energy is 2.66 eV/f.u. The crystal system is tetragonal. The calculation puts the uncorrected energy at -2.690 eV/atom.

Cell and atoms, written as POSCAR:
```
NaLi2VCl
1.0
5.3866 0.0000 0.0000
0.0000 4.7626 0.0000
0.0000 0.0000 5.3866
Na Cl Li V
1 1 2 1
direct
0.0000 0.0000 0.0000
0.0000 0.5000 0.0000
0.0000 0.0000 0.5000
0.5000 0.0000 0.0000
0.5000 0.5000 0.5000
```

---

# 11
Na2LiVCl6 | PBE-GGA | relaxed

## Properties
The value obtained for the calculated density is 2.3 g/cm3. Its magnetization is 0.200 μB/atom. The value obtained for the uncorrected formation energy is -15.44 eV/f.u. The crystal system is trigonal. The calculation puts the uncorrected energy at -4.019 eV/atom.

Cell and atoms, written as POSCAR:
```
Na2LiVCl6
1.0
-3.8077 3.3584 -4.3938
-4.4842 -3.2908 -3.7602
-6.7828 0.8221 1.3753
Na Li V Cl
2 1 1 6
direct
0.5334 0.5334 0.3997
0.0243 0.0243 0.9272
0.8104 0.8103 0.5690
0.3250 0.3250 0.0250
0.5660 0.1934 0.2562
0.1933 0.9845 0.2562
0.9844 0.5660 0.2562
0.4543 0.6721 0.7752
0.6721 0.0983 0.7752
0.0984 0.4543 0.7752
```

---

# 12
NaLiY2Cl | PBE-GGA | relaxed

## Properties
The value obtained for the calculated density is 2.8 g/cm3. Its magnetization is 0.000 μB/atom. The value obtained for the uncorrected formation energy is -0.93 eV/f.u. The crystal system is tetragonal. The calculation puts the uncorrected energy at -3.788 eV/atom.

Cell and atoms, written as POSCAR:
```
NaLiY2Cl
1.0
-0.8860 2.5724 4.5924
-4.9109 0.7299 -1.3563
-1.3292 -4.6154 2.3288
Y Na Li Cl
2 1 1 1
direct
0.0000 0.0000 0.5000
0.5000 0.0000 0.0000
0.0000 0.5000 0.0000
0.5000 0.5000 0.5000
0.0000 0.0000 0.0000
```

---

Repeat the fourth record exactly.
Na2LiTlCl6 | PBE-GGA | relaxed

## Properties
The value obtained for the calculated density is 2.9 g/cm3. Its magnetization is 0.000 μB/atom. The value obtained for the uncorrected formation energy is -12.17 eV/f.u. The crystal system is cubic. The calculation puts the uncorrected energy at -3.016 eV/atom. Its distance to the lowest polymorph of the same formula is 0.136 eV/atom.

Cell and atoms, written as POSCAR:
```
Na2LiTlCl6
1.0
2.0368 3.9728 5.6857
-4.8871 3.9186 3.6083
-1.9863 -1.9519 6.6711
Na Li Tl Cl
2 1 1 6
direct
0.7500 0.7500 0.7500
0.2500 0.2500 0.2500
0.5000 0.5000 0.5000
0.0000 0.0000 0.0000
0.2537 0.7463 0.2537
0.7463 0.2537 0.2537
0.7463 0.2537 0.7463
0.2537 0.2537 0.7463
0.7463 0.7463 0.2537
0.2537 0.7463 0.7463
```